Record 1
ZrSbTeN2 at its PBEsol-relaxed geometry. Source: Alexandria via LeMat-Bulk, functional meta-GGA SCAN.

Cell lengths 4.089, 4.089, 5.638 Å; angles 90.00, 90.00, 90.00 degrees
Atoms (fractional coordinates):
Zr 0.000 0.000 0.000
Sb 0.500 0.500 0.500
Te 0.500 0.500 0.000
N 0.000 0.500 0.500
N 0.500 0.000 0.500

Properties
symmetry	P4/mmm

Record 2
MoP2O8 at its PBEsol-relaxed geometry. Source: Alexandria via LeMat-Bulk, functional meta-GGA SCAN.

Cell lengths 4.881, 12.861, 11.097 Å; angles 90.00, 110.74, 90.00 degrees
Atoms (fractional coordinates):
Mo 0.092 0.064 0.284
Mo 0.092 0.436 0.784
Mo 0.908 0.564 0.216
Mo 0.908 0.936 0.716
P 0.319 0.094 0.616
P 0.319 0.406 0.116
P 0.393 0.740 0.206
P 0.393 0.760 0.706
P 0.607 0.240 0.294
P 0.607 0.260 0.794
P 0.681 0.594 0.884
P 0.681 0.906 0.384
O 0.091 0.044 0.137
O 0.091 0.456 0.637
O 0.111 0.096 0.480
O 0.111 0.404 0.980
O 0.193 0.040 0.711
O 0.193 0.460 0.211
O 0.204 0.668 0.260
O 0.204 0.832 0.760
O 0.231 0.682 0.612
O 0.231 0.818 0.112
O 0.379 0.211 0.661
O 0.379 0.289 0.161
O 0.385 0.543 0.868
O 0.385 0.957 0.368
O 0.404 0.165 0.335
O 0.404 0.335 0.835
O 0.596 0.665 0.165
O 0.596 0.835 0.665
O 0.615 0.043 0.632
O 0.615 0.457 0.132
O 0.621 0.711 0.839
O 0.621 0.789 0.339
O 0.769 0.182 0.888
O 0.769 0.318 0.388
O 0.796 0.168 0.240
O 0.796 0.332 0.740
O 0.807 0.540 0.789
O 0.807 0.960 0.289
O 0.889 0.596 0.020
O 0.889 0.904 0.520
O 0.909 0.544 0.363
O 0.909 0.956 0.863

Properties
symmetry	P2_1/c

Summary of final energy in eV for the cell shown
-118.45 -519.40
(order as listed above)